(1)
The following is a GGA-PBE calculation of Li2ZnSi after structural relaxation, from the Alexandria database.

Raw formation energy = -0.06 eV per atom
Symmetry = No. 99
Raw total energy = -2.694 eV per atom
Density of states at the Fermi level = 0.270 states/eV per atom

abc: 3.2064 3.2064 5.8335
angles: 90.00 90.00 90.00
With the nearest neighbours (Å) after each atom.
Positions (direct):
Li1 0.0000 0.0000 0.0000  4 Zn 2.66, 4 Li 2.75, 2 Si 2.87-2.96
Li2 0.5000 0.5000 0.2680  4 Si 2.67, 4 Li 2.75, 2 Zn 2.88-2.96
Zn1 0.5000 0.5000 0.7611  6 Li 2.66-2.96, 4 Si 2.71
Si1 0.0000 0.0000 0.5081  6 Li 2.67-2.96, 4 Zn 2.71

(2)
The following is a GGA-PBE calculation of Th4BiTeAs2 after structural relaxation, from the Alexandria database.

Raw formation energy = -1.12 eV per atom
Symmetry = No. 10
Raw total energy = -6.872 eV per atom
Density of states at the Fermi level = 0.745 states/eV per atom

abc: 7.5303 4.3423 7.7671
angles: 90.00 108.82 90.00
With the nearest neighbours (Å) after each atom.
Positions (direct):
Th1 0.2384 0.0000 0.2159  3 As 2.97, 1 Te 3.26, 2 Bi 3.26
Th2 0.2604 0.5000 0.7837  3 As 2.97, 2 Te 3.26, 1 Bi 3.27
Th3 0.7396 0.5000 0.2163  3 As 2.97, 2 Te 3.26, 1 Bi 3.27
Th4 0.7616 0.0000 0.7841  3 As 2.97, 1 Te 3.26, 2 Bi 3.26
Bi1 0.5000 0.5000 0.5000  6 Th 3.26-3.27
Te1 0.0000 0.0000 0.5000  6 Th 3.26
As1 0.0000 0.5000 0.0000  6 Th 2.97
As2 0.5000 0.0000 0.0000  6 Th 2.97

(3)
The following is a GGA-PBE calculation of BaHf2BiPt after structural relaxation, from the Alexandria database.

Symmetry = No. 123
Energy of formation = 0.151 eV/atom
Raw total energy = -6.200 eV per atom
Density of states at the Fermi level = 1.167 states/eV per atom

abc: 5.1219 5.1219 6.1215
angles: 90.00 90.00 90.00
With the nearest neighbours (Å) after each atom.
Positions (direct):
Ba1 0.0000 0.0000 0.0000  4 Bi 3.62, 8 Hf 3.99
Hf1 0.0000 0.5000 0.5000  2 Pt 2.56
Hf2 0.5000 0.0000 0.5000  2 Pt 2.56
Bi1 0.5000 0.5000 0.0000  2 Pt 3.06
Pt1 0.5000 0.5000 0.5000  4 Hf 2.56

(4)
The following is a GGA-PBE calculation of La3SmTh after structural relaxation, from the Alexandria database.

Symmetry = No. 57
Energy of formation = 0.116 eV/atom
Energy above the lowest structure with this stoichiometry = 98 meV per atom
Raw total energy = -5.268 eV per atom
Density of states at the Fermi level = 1.693 states/eV per atom

abc: 14.2570 6.9780 7.0890
angles: 90.00 90.00 90.00
With the nearest neighbours (Å) after each atom.
Positions (direct):
La1 0.0069 0.2500 0.0000  8 La 3.49-3.82, 4 Sm 3.58-3.85
La2 0.0069 0.2500 0.5000  8 La 3.49-3.82, 4 Sm 3.58-3.85
La3 0.2008 0.5158 0.2500  4 Sm 3.47-3.55, 5 La 3.56-3.82, 2 Th 3.62
La4 0.2008 0.9842 0.7500  4 Sm 3.47-3.55, 5 La 3.56-3.82, 2 Th 3.62
La5 0.4203 0.7417 0.7500  2 Th 3.36, 3 La 3.55-3.56, 1 Sm 3.71
La6 0.4203 0.7583 0.2500  2 Th 3.36, 3 La 3.55-3.56, 1 Sm 3.71
La7 0.5797 0.2417 0.7500  2 Th 3.36, 3 La 3.55-3.56, 1 Sm 3.71
La8 0.5797 0.2583 0.2500  2 Th 3.36, 3 La 3.55-3.56, 1 Sm 3.71
La9 0.7992 0.0158 0.2500  4 Sm 3.47-3.55, 5 La 3.56-3.82, 2 Th 3.62
La10 0.7992 0.4842 0.7500  4 Sm 3.47-3.55, 5 La 3.56-3.82, 2 Th 3.62
La11 0.9931 0.7500 0.0000  8 La 3.49-3.82, 4 Sm 3.58-3.85
La12 0.9931 0.7500 0.5000  8 La 3.49-3.82, 4 Sm 3.58-3.85
Sm1 0.1934 0.0185 0.2500  9 La 3.47-3.85, 2 Th 3.58
Sm2 0.1934 0.4815 0.7500  9 La 3.47-3.85, 2 Th 3.58
Sm3 0.8066 0.5185 0.2500  9 La 3.47-3.85, 2 Th 3.58
Sm4 0.8066 0.9815 0.7500  9 La 3.47-3.85, 2 Th 3.58
Th1 0.3797 0.2500 0.0000  4 La 3.36-3.62, 2 Th 3.54, 2 Sm 3.58
Th2 0.3797 0.2500 0.5000  4 La 3.36-3.62, 2 Th 3.54, 2 Sm 3.58
Th3 0.6203 0.7500 0.0000  4 La 3.36-3.62, 2 Th 3.54, 2 Sm 3.58
Th4 0.6203 0.7500 0.5000  4 La 3.36-3.62, 2 Th 3.54, 2 Sm 3.58